[1]
Below is crystalline TiBiI2 at its relaxed geometry, with properties calculated at the PBE-GGA level.

abc: 3.6463 3.6463 11.7970
angles: 81.11 81.11 60.00
Closest atoms and distances in Å follow each position.
Element x y z (fractional)
Ti1 0.5000 0.5000 0.5000  6 I 2.80
I1 0.8864 0.8864 0.3408  3 Ti 2.80
I2 0.1136 0.1136 0.6592  3 Ti 2.80
Bi1 0.0000 0.0000 0.0000  6 Bi 3.65, 2 I 3.96

Results
- E above lowest polymorph: 0.000 eV per atom
- E_form (uncorrected): -0.86 eV/f.u.
- Total DFT energy (no corrections): -0.1446 Ha/atom
- DOS(E_F): 0.906 states/eV/atom
- Space-group type: R-3m

=====

[2]
Below is crystalline TaInPb2 at its relaxed geometry, with properties calculated at the PBE-GGA level.

abc: 7.8343 7.8343 5.0355
angles: 71.27 71.27 22.74
Closest atoms and distances in Å follow each position.
Element x y z (fractional)
Pb1 0.0699 0.0699 0.9301  2 Ta 3.04, 2 Pb 3.09
Pb2 0.4301 0.4301 0.5699  2 Ta 3.04, 2 Pb 3.09
Ta1 0.7500 0.7500 0.7500  4 In 2.95, 4 Pb 3.04, 2 Ta 3.09
In1 0.2500 0.2500 0.2500  4 Ta 2.95, 2 In 3.09

Results
- Calculated formation energy: 0.314 eV/atom
- Total DFT energy (no corrections): -0.1906 Ha/atom
- DOS(E_F): 0.494 states/eV/atom
- Space-group type: Immm

=====

[3]
Below is crystalline ScBeSi2Rh at its relaxed geometry, with properties calculated at the PBE-GGA level.

abc: 3.7126 3.7126 5.8459
angles: 108.51 108.51 90.00
Closest atoms and distances in Å follow each position.
Element x y z (fractional)
Rh1 0.2500 0.7500 0.5000  4 Si 2.36, 4 Be 2.63
Si1 0.6103 0.6103 0.2207  1 Si 2.31, 2 Be 2.36, 2 Rh 2.36
Si2 0.3897 0.3897 0.7793  1 Si 2.31, 2 Rh 2.36, 2 Be 2.36
Be1 0.7500 0.2500 0.5000  4 Si 2.36, 4 Rh 2.63
Sc1 0.0000 0.0000 0.0000  8 Si 2.87, 4 Be 3.20, 4 Rh 3.20

Results
- E above lowest polymorph: 0.000 eV per atom
- E_form (uncorrected): -3.73 eV/f.u.
- Total DFT energy (no corrections): -0.2351 Ha/atom
- DOS(E_F): 0.367 states/eV/atom
- Space-group type: I-4m2

=====

[4]
Below is crystalline Ce8FeOs3Br4 at its relaxed geometry, with properties calculated at the PBE-GGA level.

abc: 8.0595 8.9514 8.0620
angles: 116.77 119.99 90.00
Closest atoms and distances in Å follow each position.
Element x y z (fractional)
Ce1 0.2270 0.6924 0.9654  1 Fe 2.71, 2 Os 2.78
Ce2 0.2617 0.3076 0.0346  1 Fe 2.71, 2 Os 2.78
Ce3 0.2678 0.3031 0.5356  3 Os 2.77
Ce4 0.7322 0.6969 0.4644  3 Os 2.77
Ce5 0.7724 0.3072 0.5448  1 Fe 2.72, 2 Os 2.77
Ce6 0.2276 0.6928 0.4552  1 Fe 2.72, 2 Os 2.77
Ce7 0.7730 0.3076 0.0346  1 Fe 2.71, 2 Os 2.78
Ce8 0.7383 0.6924 0.9654  1 Fe 2.71, 2 Os 2.78
Br1 0.0000 0.0000 0.0000  6 Ce 3.29
Br2 0.5000 0.0000 0.0000  6 Ce 3.34-3.35
Br3 0.5000 0.0000 0.5000  6 Ce 3.28-3.29
Br4 0.0000 0.0000 0.5000  6 Ce 3.28-3.29
Os1 0.5000 0.5000 0.0000  6 Ce 2.77-2.78
Os2 0.5000 0.5000 0.5000  6 Ce 2.77-2.78
Os3 0.0000 0.5000 0.5000  6 Ce 2.77-2.78
Fe1 0.0000 0.5000 0.0000  6 Ce 2.71-2.72

Results
- E_form (uncorrected): -11.48 eV/f.u.
- Total DFT energy (no corrections): -0.2476 Ha/atom
- DOS(E_F): 2.225 states/eV/atom
- Space-group type: R-3m

=====

[5]
Below is crystalline Y2As at its relaxed geometry, with properties calculated at the PBE-GGA level.

abc: 5.2426 5.2426 3.1341
angles: 90.00 90.00 120.00
Closest atoms and distances in Å follow each position.
Element x y z (fractional)
Y1 0.6667 0.3333 0.0000  5 Y 3.03-3.13
Y2 0.3333 0.6667 0.0000  5 Y 3.03-3.13
As1 0.0000 0.0000 0.5000  2 As 3.13, 12 Y 3.41

Results
- Calculated formation energy: 0.071 eV/atom
- Total DFT energy (no corrections): -0.2127 Ha/atom
- DOS(E_F): 1.455 states/eV/atom
- Space-group type: P6/mmm

=====

[6]
Below is crystalline LaTcRu2 at its relaxed geometry, with properties calculated at the PBE-GGA level.

abc: 9.9251 9.9251 9.9251
angles: 16.57 16.57 16.57
Closest atoms and distances in Å follow each position.
Element x y z (fractional)
La1 0.7490 0.7490 0.7490  6 La 2.86
Ru1 0.2499 0.2499 0.2499  3 Tc 2.65, 9 Ru 2.67-2.86
Ru2 0.9882 0.9882 0.9882  9 Ru 2.67-2.86
Tc1 0.5128 0.5128 0.5128  3 Ru 2.65, 6 Tc 2.86

Results
- E above lowest polymorph: 0.445 eV per atom
- Calculated formation energy: 0.580 eV/atom
- Total DFT energy (no corrections): -0.2896 Ha/atom
- DOS(E_F): 1.392 states/eV/atom
- Space-group type: R3m

=====

[7]
Below is crystalline KCaHg2 at its relaxed geometry, with properties calculated at the PBE-GGA level.

abc: 3.8310 3.9515 9.3162
angles: 64.81 90.00 90.00
Closest atoms and distances in Å follow each position.
Element x y z (fractional)
K1 0.5000 0.2500 0.2500  8 Hg 3.70, 4 K 3.83-3.95
Hg1 0.0000 0.4565 0.5435  4 Ca 3.25-3.26, 1 Hg 3.48
Hg2 0.0000 0.0435 0.9565  4 Ca 3.25-3.26, 1 Hg 3.48
Ca1 0.5000 0.7500 0.7500  8 Hg 3.25-3.26

Results
- E above lowest polymorph: 0.000 eV per atom
- Calculated formation energy: -0.342 eV/atom
- Total DFT energy (no corrections): -0.0466 Ha/atom
- DOS(E_F): 0.770 states/eV/atom
- Space-group type: P2/m